Entry 1:
Compound: ReSnW2F
Source: the Alexandria database
Functional: PBE with a Hubbard U
Structure: optimized geometry

a b c (Å): 5.1575 4.0349 5.1575
angles (deg): 90.00 90.00 90.00
Last column: magnetic moment on the atom in μB.
Positions (direct):
Re  0.0000  0.0000  0.0000  -1.14
Sn  0.5000  0.5000  0.5000  -0.22
W  0.0000  0.0000  0.5000  2.51
W  0.5000  0.0000  0.0000  2.83
F  0.0000  0.5000  0.0000  -0.05

Output
Crystal system: tetragonal
Spin magnetization, μB per formula unit: 4.6
SG: No. 123
Volume, Å³/f.u.: 107
DFT total energy, eV/cell: -27.76

***

Entry 2:
Compound: ReSnW2F
Source: the Alexandria database
Functional: PBE with a Hubbard U
Structure: optimized geometry

a b c (Å): 4.2769 4.6014 4.2769
angles (deg): 90.00 90.00 90.00
Last column: magnetic moment on the atom in μB.
Positions (direct):
Re  0.0000  0.5000  0.0000  -0.78
Sn  0.5000  0.5000  0.5000  -0.02
W  0.0000  0.0000  0.5000  0.65
W  0.5000  0.0000  0.0000  0.57
F  0.0000  0.0000  0.0000  0.01

Output
Crystal system: tetragonal
Spin magnetization, μB per formula unit: 0.3
SG: No. 123
Volume, Å³/f.u.: 84
DFT total energy, eV/cell: -26.26